LiHgCl3 | PBE | relaxed

POSCAR file:
```
LiHgCl3
1.0
4.249 0.000 0.000
0.000 6.283 -1.805
0.000 -0.447 10.287
Hg Cl Li
2 6 2
Direct
0.250 0.848 0.305
0.750 0.543 0.695
0.750 0.602 0.186
0.250 0.116 0.182
0.750 0.934 0.818
0.250 0.738 0.513
0.250 0.416 0.814
0.750 0.224 0.487
0.250 0.033 0.728
0.750 0.305 0.272
```

Computed properties:
* crystal system: orthorhombic
* E above lowest polymorph: 0.000 eV per atom
* V: 27.12 A^3/atom
* uncorrected formation energy: -101.71 kJ per mole of atoms
* SG: No. 40